MgBi2SbO6, relaxed, DFT PBE; uncorrected energy = -5.78 eV/atom; DOS at the Fermi energy = 9.39 states/eV per cell; formation energy from raw total energies = -1.46 eV per atom; SG = P2_1/c
1.0
5.615 0.000 -0.012
0.000 6.013 0.000
0.032 0.000 8.082
O Bi Mg Sb
12 4 2 2
Direct
0.813 0.807 0.561 O
0.825 0.815 0.954 O
0.118 0.458 0.747 O
0.687 0.307 0.939 O
0.325 0.685 0.454 O
0.882 0.542 0.253 O
0.382 0.958 0.753 O
0.618 0.042 0.247 O
0.187 0.193 0.439 O
0.675 0.315 0.546 O
0.313 0.693 0.061 O
0.175 0.185 0.046 O
0.010 0.951 0.242 Bi
0.490 0.451 0.258 Bi
0.510 0.549 0.742 Bi
0.990 0.049 0.758 Bi
0.500 0.000 0.000 Mg
0.000 0.500 0.500 Mg
0.000 0.500 0.000 Sb
0.500 0.000 0.500 Sb